# 1
VASP calculation (GGA-PBE) on V4PdPt5 after structural relaxation.

a = 2.721 Å, b = 2.721 Å, c = 19.627 Å
α = 90.00°, β = 90.00°, γ = 90.00°
Space group P4/mmm (No. 123)
One atom of each set of equivalent atoms:
1 V 0.000 0.000 0.099
2 V 0.000 0.000 0.297
3 Pd 0.000 0.000 0.500
4 Pt 0.500 0.500 0.000
5 Pt 0.500 0.500 0.198
6 Pt 0.500 0.500 0.391

calculated total energy: -77.000 eV for the cell shown
formation energy: -513 meV per atom
density: 14.693 g cm⁻³

# 2
VASP calculation (GGA-PBE) on LaPr3P after structural relaxation.

a = 5.666 Å, b = 5.666 Å, c = 5.666 Å
α = 90.00°, β = 90.00°, γ = 90.00°
Space group Pm-3m (No. 221)
One atom of each set of equivalent atoms:
1 La 0.000 0.000 0.000
2 Pr 0.000 0.500 0.500
3 P 0.500 0.500 0.500

calculated total energy: -26.646 eV for the cell shown
formation energy: -394 meV per atom
density: 5.409 g cm⁻³

# 3
VASP calculation (GGA-PBE) on SmPu2Al after structural relaxation.

a = 7.425 Å, b = 7.425 Å, c = 7.425 Å
α = 90.00°, β = 90.00°, γ = 90.00°
Space group Fm-3m (No. 225)
One atom of each set of equivalent atoms:
1 Sm 0.000 0.000 0.000
2 Pu 0.250 0.250 0.250
3 Al 0.000 0.000 0.500

offset from the most stable computed form: 0.2092 eV per atom
calculated total energy: -146.099 eV for the cell shown
formation energy: 150 meV per atom
density: 10.797 g cm⁻³

no.,V (Å³/cell)
1,145.29
2,181.93
3,409.32